(1)
## Tb2PmSm12 (GGA-PBE)

Data for Tb2PmSm12 after structural relaxation.

Geometry as POSCAR:
```
Tb2PmSm12
1.0
-3.919 0.391 5.518
-3.142 -1.470 -5.824
3.524 -24.277 4.226
Tb Sm Pm
4 24 2
Cartesian
-0.613 -7.332 -1.764
-2.535 -18.955 0.012
-1.019 -6.284 3.887
-2.906 -18.141 5.703
-3.763 -11.449 1.891
-0.649 -21.186 6.358
0.190 -13.821 2.551
-1.497 -2.125 0.269
-2.000 -11.111 -1.239
-1.155 -16.900 2.694
-5.024 -2.672 0.071
-2.866 -4.167 -2.438
-0.711 -19.959 3.227
2.819 -19.420 3.380
-6.356 -5.936 0.539
-0.282 -22.120 0.686
-2.132 -10.141 4.443
-0.196 -10.995 1.521
-3.276 -3.239 3.232
-3.304 -14.447 1.875
-4.686 -17.439 2.541
-2.381 -8.456 1.225
-2.825 -5.397 0.692
1.149 -7.917 1.378
-2.043 -23.223 3.694
1.491 -22.691 3.803
-1.148 -15.176 -0.513
-1.793 -14.285 5.147
1.562 -24.060 6.981
-1.568 -0.756 -2.909
```

Fermi-level density of states   1.484 states/eV/atom
Calculated volume   1025.1 Å³/cell
Space group   Cmme (67)
Energy of formation   3.7 kcal/mol of atoms



(2)
## TbPm2Sm (GGA-PBE)

Data for TbPm2Sm after structural relaxation.

Geometry as POSCAR:
```
TbPm2Sm
1.0
-3.338 -0.907 0.893
1.332 -5.455 -0.559
3.453 0.229 5.993
Tb Sm Pm
1 1 2
Cartesian
1.595 -0.200 5.756
0.083 -3.318 4.085
0.886 -2.755 0.512
0.669 -0.084 2.413
```

Fermi-level density of states   1.460 states/eV/atom
Distance to the lowest polymorph of the same formula   0.0371 eV per atom
Calculated volume   134.8 Å³/cell
Space group   Amm2 (38)
Energy of formation   1.1 kcal/mol of atoms



(3)
## Tb2Pm4Sm (GGA-PBE)

Data for Tb2Pm4Sm after structural relaxation.

Geometry as POSCAR:
```
Tb2Pm4Sm
1.0
6.172 0.000 -0.329
0.000 6.669 0.000
-2.426 0.000 11.531
Sm Pm Tb
2 8 4
Cartesian
3.176 1.667 9.447
0.569 5.002 1.754
5.711 1.667 1.352
3.298 6.639 3.089
-0.155 5.002 5.084
0.447 0.030 8.113
3.901 1.667 6.118
0.447 3.304 8.113
-1.966 5.002 9.850
3.298 3.364 3.089
3.007 5.002 6.318
1.277 5.002 11.301
2.468 1.667 -0.099
0.738 1.667 4.884
```

Fermi-level density of states   1.562 states/eV/atom
Distance to the lowest polymorph of the same formula   0.0637 eV per atom
Calculated volume   469.2 Å³/cell
Space group   P2_1/m (11)
Energy of formation   2.8 kcal/mol of atoms



(4)
## Tb5Pm2Sm2 (GGA-PBE)

Data for Tb5Pm2Sm2 after structural relaxation.

Geometry as POSCAR:
```
Tb5Pm2Sm2
1.0
3.439 0.000 -0.709
-0.498 7.946 -2.417
0.727 -3.063 12.216
Tb Sm Pm
5 2 2
Cartesian
2.223 5.630 2.089
1.444 -0.746 7.002
0.262 3.031 1.268
0.000 0.000 0.000
3.406 1.853 7.822
1.581 5.582 -1.027
2.087 -0.698 10.117
0.794 0.631 3.851
2.873 4.253 5.239
```

Fermi-level density of states   1.439 states/eV/atom
Distance to the lowest polymorph of the same formula   0.0387 eV per atom
Calculated volume   311.4 Å³/cell
Space group   C2/m (12)
Energy of formation   5.6 kcal/mol of atoms



(5)
## Tb2Pm5Sm3 (GGA-PBE)

Data for Tb2Pm5Sm3 after structural relaxation.

Geometry as POSCAR:
```
Tb2Pm5Sm3
1.0
-8.899 -0.531 -4.539
-1.311 -8.201 -5.552
2.271 0.773 11.023
Tb Pm Sm
4 10 6
Cartesian
-4.522 -2.322 -1.166
-3.417 -5.637 2.098
-2.657 -7.944 -3.662
-5.282 -0.015 4.593
-7.978 -2.051 -0.656
-6.796 -4.940 0.914
-1.902 -0.711 5.776
0.039 -5.909 1.587
-3.007 -4.395 -3.643
-6.037 -7.248 -4.845
-3.776 -2.100 2.137
-1.143 -3.019 0.018
-4.932 -3.565 4.574
-4.163 -5.860 -1.205
-6.791 -0.546 -3.159
-7.287 -1.735 2.628
-6.516 -4.027 -3.156
-1.423 -3.932 4.088
-1.148 -7.414 4.091
-0.652 -6.225 -1.696
```

Fermi-level density of states   1.835 states/eV/atom
Calculated volume   685.4 Å³/cell
Space group   C2/c (15)
Energy of formation   4.2 kcal/mol of atoms



(6)
## Tb5PmSm6 (GGA-PBE)

Data for Tb5PmSm6 after structural relaxation.

Geometry as POSCAR:
```
Tb5PmSm6
1.0
4.888 0.018 -1.427
-1.394 8.950 -4.662
0.117 -0.837 9.490
Pm Tb Sm
1 5 6
Cartesian
0.000 0.000 0.000
0.543 6.903 1.959
1.243 2.432 4.297
2.368 5.700 -0.895
-0.697 4.475 -2.331
3.068 1.229 1.442
1.400 6.712 -4.204
-0.423 7.924 -1.342
0.272 3.461 0.982
2.211 1.420 7.606
3.339 4.671 2.419
4.034 0.208 4.744
```

Fermi-level density of states   1.422 states/eV/atom
Distance to the lowest polymorph of the same formula   0.0027 eV per atom
Calculated volume   396.2 Å³/cell
Space group   Immm (71)
Energy of formation   0.4 kcal/mol of atoms



(7)
## Tb4Pm4Sm (GGA-PBE)

Data for Tb4Pm4Sm after structural relaxation.

Geometry as POSCAR:
```
Tb4Pm4Sm
1.0
-2.502 3.139 -3.957
-8.800 -0.154 1.428
-5.920 5.484 4.079
Tb Pm Sm
4 4 1
Cartesian
-10.042 4.844 2.164
-7.180 3.624 -0.614
-5.905 3.584 2.563
-11.317 4.885 -1.012
-6.674 0.516 0.615
-3.712 2.448 0.275
-10.548 7.953 0.935
-13.511 6.020 1.276
-1.251 1.570 -1.978
```

Fermi-level density of states   1.680 states/eV/atom
Distance to the lowest polymorph of the same formula   0.0863 eV per atom
Calculated volume   301.9 Å³/cell
Space group   C2/m (12)
Energy of formation   2.3 kcal/mol of atoms



(8)
## Tb2Pm5Sm4 (GGA-PBE)

Data for Tb2Pm5Sm4 after structural relaxation.

Geometry as POSCAR:
```
Tb2Pm5Sm4
1.0
-0.266 -3.041 -1.717
5.955 -3.630 5.506
-9.736 -1.260 7.311
Pm Sm Tb
5 4 2
Cartesian
-2.080 -1.203 2.452
-1.967 -6.728 8.648
-0.133 -1.520 -0.859
-4.392 -3.661 3.592
0.345 -4.270 7.508
-0.817 -4.213 4.016
-5.304 -6.367 8.526
-3.230 -3.718 7.084
1.257 -1.564 2.574
-6.622 -4.761 5.885
2.575 -3.170 5.215
```

Fermi-level density of states   1.615 states/eV/atom
Distance to the lowest polymorph of the same formula   0.0000 eV per atom
Calculated volume   374.2 Å³/cell
Space group   C2/m (12)
Energy of formation   3.2 kcal/mol of atoms



(9)
## TbPm6Sm2 (GGA-PBE)

Data for TbPm6Sm2 after structural relaxation.

Geometry as POSCAR:
```
TbPm6Sm2
1.0
-1.587 -1.699 -2.821
7.357 -6.919 0.027
-0.299 -8.573 5.331
Pm Tb Sm
6 1 2
Cartesian
1.334 -8.898 2.240
4.138 -8.292 0.297
1.024 -5.498 2.735
4.447 -11.692 -0.198
3.721 -4.916 0.867
1.751 -12.274 1.670
0.000 0.000 0.000
5.001 -13.567 2.988
0.470 -3.623 -0.451
```

Fermi-level density of states   1.489 states/eV/atom
Distance to the lowest polymorph of the same formula   0.0188 eV per atom
Calculated volume   308.5 Å³/cell
Space group   Cmmm (65)
Energy of formation   3.0 kcal/mol of atoms



(10)
## TbPm4Sm (GGA-PBE)

Data for TbPm4Sm after structural relaxation.

Geometry as POSCAR:
```
TbPm4Sm
1.0
6.279 0.478 1.005
3.081 5.492 1.005
-0.902 -0.575 5.981
Tb Pm Sm
1 4 1
Cartesian
0.000 0.000 0.000
1.199 0.765 3.081
2.204 1.406 6.386
7.259 4.630 4.910
6.255 3.989 1.605
4.229 2.698 3.996
```

Fermi-level density of states   1.887 states/eV/atom
Distance to the lowest polymorph of the same formula   0.0443 eV per atom
Calculated volume   203.9 Å³/cell
Space group   C2/m (12)
Energy of formation   2.5 kcal/mol of atoms



(11)
## Tb2PmSm (GGA-PBE)

Data for Tb2PmSm after structural relaxation.

Geometry as POSCAR:
```
Tb2PmSm
1.0
-3.008 -1.480 -1.313
-0.043 -1.321 -3.348
2.347 -11.397 2.532
Sm Tb Pm
1 2 1
Cartesian
-0.352 -7.099 -1.064
-0.174 -3.555 -0.530
-0.530 -10.642 -1.599
0.000 0.000 0.000
```

Fermi-level density of states   1.212 states/eV/atom
Distance to the lowest polymorph of the same formula   0.0000 eV per atom
Calculated volume   131.6 Å³/cell
Space group   R-3m (166)
Energy of formation   0.3 kcal/mol of atoms



(12)
## TbPm4Sm (GGA-PBE)

Data for TbPm4Sm after structural relaxation.

Geometry as POSCAR:
```
TbPm4Sm
1.0
6.678 0.000 0.000
3.339 5.783 0.000
3.339 1.928 5.453
Tb Pm Sm
1 4 1
Cartesian
0.000 0.000 0.000
6.678 1.923 3.410
8.352 4.822 3.410
5.004 4.822 3.410
6.678 3.856 0.676
3.339 1.928 1.363
```

Fermi-level density of states   1.700 states/eV/atom
Distance to the lowest polymorph of the same formula   0.1957 eV per atom
Calculated volume   210.6 Å³/cell
Space group   F-43m (216)
Energy of formation   6.0 kcal/mol of atoms



(13)
## TbPm4Sm15 (GGA-PBE)

Data for TbPm4Sm15 after structural relaxation.

Geometry as POSCAR:
```
TbPm4Sm15
1.0
-3.621 -2.835 2.282
3.186 -0.914 3.920
-8.786 20.899 12.017
Sm Pm Tb
15 4 1
Cartesian
-7.254 14.864 12.726
-3.730 6.481 7.905
-4.441 4.841 4.740
-0.217 -1.874 3.101
0.723 1.613 3.150
-6.204 9.032 7.150
-4.562 14.183 10.378
-6.323 18.371 12.786
-9.726 17.411 11.968
-5.491 10.669 10.314
-1.038 5.801 5.558
-1.966 2.286 5.493
-2.681 0.653 2.331
-2.800 9.992 7.968
-7.966 13.223 9.559
-3.512 8.354 4.804
-5.274 12.545 7.213
-7.036 16.734 9.622
-1.751 4.164 2.394
0.000 0.000 0.000
```

Fermi-level density of states   1.436 states/eV/atom
Calculated volume   676.2 Å³/cell
Space group   P4/mmm (123)
Energy of formation   0.4 kcal/mol of atoms



(14)
## Tb2Pm2Sm3 (GGA-PBE)

Data for Tb2Pm2Sm3 after structural relaxation.

Geometry as POSCAR:
```
Tb2Pm2Sm3
1.0
3.529 0.000 0.000
0.000 8.688 -0.688
-1.764 -3.660 8.015
Pm Tb Sm
2 2 3
Cartesian
1.764 3.270 5.213
0.000 1.758 2.114
0.000 -2.375 6.915
1.764 7.403 0.413
1.764 -0.401 4.469
0.000 4.344 -0.344
0.000 5.429 2.858
```

Fermi-level density of states   1.448 states/eV/atom
Distance to the lowest polymorph of the same formula   0.0900 eV per atom
Calculated volume   236.9 Å³/cell
Space group   C2/m (12)
Energy of formation   2.4 kcal/mol of atoms



(15)
## Tb4Pm3Sm4 (GGA-PBE)

Data for Tb4Pm3Sm4 after structural relaxation.

Geometry as POSCAR:
```
Tb4Pm3Sm4
1.0
-0.213 3.516 -0.260
-5.160 -0.491 -2.413
-10.394 2.255 15.028
Sm Tb Pm
4 4 3
Cartesian
-6.282 1.860 6.298
-6.661 1.403 0.425
-9.486 3.421 6.055
-9.106 3.879 11.929
-8.054 1.535 3.379
-3.386 1.579 0.157
-7.713 3.746 8.975
-12.383 3.702 12.199
-4.897 3.472 2.999
-5.161 -0.490 -2.412
-10.871 1.809 9.356
```

Fermi-level density of states   1.485 states/eV/atom
Distance to the lowest polymorph of the same formula   0.0000 eV per atom
Calculated volume   365.6 Å³/cell
Space group   P-1 (2)
Energy of formation   1.3 kcal/mol of atoms



(16)
## Tb3Pm4Sm2 (GGA-PBE)

Data for Tb3Pm4Sm2 after structural relaxation.

Geometry as POSCAR:
```
Tb3Pm4Sm2
1.0
3.439 0.000 -0.890
-0.367 8.605 -1.419
0.775 0.126 10.079
Tb Sm Pm
3 2 4
Cartesian
0.399 3.116 1.541
3.447 5.616 6.228
0.000 0.000 0.000
1.308 8.324 5.051
2.538 0.408 2.718
2.579 5.660 2.873
2.136 2.823 8.248
1.268 3.072 4.896
1.711 5.909 -0.479
```

Fermi-level density of states   1.551 states/eV/atom
Calculated volume   304.8 Å³/cell
Space group   C2/m (12)
Energy of formation   1.9 kcal/mol of atoms



(17)
## TbPm12Sm7 (GGA-PBE)

Data for TbPm12Sm7 after structural relaxation.

Geometry as POSCAR:
```
TbPm12Sm7
1.0
8.589 1.233 1.851
-1.204 8.593 1.851
-1.204 -1.601 8.643
Pm Sm Tb
12 7 1
Cartesian
-0.169 3.410 6.488
1.286 0.413 7.217
0.039 6.140 4.026
1.645 7.088 6.699
4.536 1.137 5.646
0.294 5.181 9.184
6.143 2.084 8.319
2.859 2.540 9.121
6.351 4.814 5.857
5.887 3.043 3.161
4.895 7.812 5.128
3.323 5.684 3.224
0.726 3.451 1.638
6.208 7.477 8.529
-0.026 0.748 3.816
3.069 7.351 10.185
5.456 4.774 10.707
3.113 0.874 2.160
3.091 4.112 6.172
0.000 0.000 0.000
```

Fermi-level density of states   1.980 states/eV/atom
Distance to the lowest polymorph of the same formula   0.0000 eV per atom
Calculated volume   696.1 Å³/cell
Space group   R-3 (148)
Energy of formation   5.2 kcal/mol of atoms



(18)
## Tb5Pm3Sm (GGA-PBE)

Data for Tb5Pm3Sm after structural relaxation.

Geometry as POSCAR:
```
Tb5Pm3Sm
1.0
8.728 0.000 0.000
0.000 8.728 0.000
-4.364 -4.364 7.829
Sm Tb Pm
2 10 6
Cartesian
0.000 4.364 3.915
4.364 0.000 3.915
6.910 2.546 2.152
2.546 1.818 2.152
-2.546 1.818 5.677
-1.818 -2.546 5.677
0.000 0.000 0.000
1.818 6.182 2.152
1.818 2.546 5.677
4.364 4.364 0.000
6.182 6.910 2.152
2.546 -1.818 5.677
1.026 3.338 0.000
4.364 4.364 3.915
7.702 5.390 0.000
0.000 0.000 3.915
3.338 7.702 0.000
5.390 1.026 0.000
```

Fermi-level density of states   1.178 states/eV/atom
Distance to the lowest polymorph of the same formula   0.0000 eV per atom
Calculated volume   596.4 Å³/cell
Space group   I4/mcm (140)
Energy of formation   6.0 kcal/mol of atoms



(19)
## Tb3Pm6Sm2 (GGA-PBE)

Data for Tb3Pm6Sm2 after structural relaxation.

Geometry as POSCAR:
```
Tb3Pm6Sm2
1.0
4.798 0.000 0.000
0.000 4.798 0.000
-2.399 -2.399 16.918
Sm Tb Pm
2 3 6
Cartesian
2.399 2.399 1.533
0.000 0.000 15.384
0.000 0.000 0.000
0.000 0.000 6.728
2.399 2.399 10.189
0.000 0.000 10.164
0.000 2.399 4.096
2.399 0.000 12.821
2.399 0.000 4.096
0.000 2.399 12.821
2.399 2.399 6.753
```

Fermi-level density of states   1.452 states/eV/atom
Distance to the lowest polymorph of the same formula   0.2636 eV per atom
Calculated volume   389.5 Å³/cell
Space group   I4/mmm (139)
Energy of formation   6.4 kcal/mol of atoms



(20)
## Tb11Pm9Sm4 (GGA-PBE)

Data for Tb11Pm9Sm4 after structural relaxation.

Geometry as POSCAR:
```
Tb11Pm9Sm4
1.0
3.728 0.000 0.000
0.000 14.089 -6.020
0.000 0.001 15.321
Tb Pm Sm
11 9 4
Cartesian
0.000 8.366 11.055
0.000 8.936 1.786
0.000 0.000 0.000
0.000 2.262 11.896
0.000 11.828 -2.595
0.000 5.154 7.515
0.000 13.453 3.348
0.000 10.032 6.622
0.000 4.058 2.679
0.000 5.724 -1.754
0.000 0.636 5.953
1.864 13.174 6.437
1.864 7.045 4.651
1.864 11.096 9.585
1.864 2.289 8.707
1.864 2.994 -0.284
1.864 5.184 10.618
1.864 11.801 0.594
1.864 8.906 -1.317
1.864 0.916 2.864
1.864 7.817 8.230
1.864 6.273 1.071
1.864 10.639 3.953
1.864 3.450 5.348
```

Fermi-level density of states   1.334 states/eV/atom
Calculated volume   804.7 Å³/cell
Space group   Cmmm (65)
Energy of formation   1.3 kcal/mol of atoms